# 1
Hf3Al4Cu8: relaxed, PBE.

a b c (Å): 8.528 8.528 8.528
angles (deg): 60.00 60.00 60.00
Element x y z (fractional)
Hf (0.222, 0.222, 0.778)
Hf (0.222, 0.778, 0.222)
Hf (0.222, 0.778, 0.778)
Hf (0.778, 0.222, 0.222)
Hf (0.778, 0.222, 0.778)
Hf (0.778, 0.778, 0.222)
Al (0.000, 0.000, 0.000)
Al (0.000, 0.000, 0.500)
Al (0.000, 0.500, 0.000)
Al (0.000, 0.500, 0.500)
Al (0.500, 0.000, 0.000)
Al (0.500, 0.000, 0.500)
Al (0.500, 0.500, 0.000)
Al (0.500, 0.500, 0.500)
Cu (0.134, 0.622, 0.622)
Cu (0.167, 0.167, 0.167)
Cu (0.167, 0.167, 0.500)
Cu (0.167, 0.500, 0.167)
Cu (0.378, 0.378, 0.378)
Cu (0.378, 0.378, 0.866)
Cu (0.378, 0.866, 0.378)
Cu (0.500, 0.167, 0.167)
Cu (0.500, 0.833, 0.833)
Cu (0.622, 0.134, 0.622)
Cu (0.622, 0.622, 0.134)
Cu (0.622, 0.622, 0.622)
Cu (0.833, 0.500, 0.833)
Cu (0.833, 0.833, 0.500)
Cu (0.833, 0.833, 0.833)
Cu (0.866, 0.378, 0.378)

Space group: Fm-3m
ΔE_f in eV per atom: -0.30

---

# 2
Si23Au: relaxed, PBE.

a b c (Å): 10.221 10.221 10.221
angles (deg): 90.00 90.00 90.00
Element x y z (fractional)
Si (0.000, 0.117, 0.309)
Si (0.000, 0.117, 0.691)
Si (0.000, 0.250, 0.500)
Si (0.000, 0.750, 0.500)
Si (0.000, 0.883, 0.309)
Si (0.000, 0.883, 0.691)
Si (0.117, 0.309, 0.000)
Si (0.117, 0.691, 0.000)
Si (0.182, 0.182, 0.182)
Si (0.182, 0.182, 0.818)
Si (0.182, 0.818, 0.182)
Si (0.182, 0.818, 0.818)
Si (0.191, 0.383, 0.500)
Si (0.191, 0.617, 0.500)
Si (0.250, 0.500, 0.000)
Si (0.309, 0.000, 0.117)
Si (0.309, 0.000, 0.883)
Si (0.318, 0.318, 0.318)
Si (0.318, 0.318, 0.682)
Si (0.318, 0.682, 0.318)
Si (0.318, 0.682, 0.682)
Si (0.383, 0.500, 0.191)
Si (0.383, 0.500, 0.809)
Si (0.500, 0.000, 0.250)
Si (0.500, 0.000, 0.750)
Si (0.500, 0.191, 0.383)
Si (0.500, 0.191, 0.617)
Si (0.500, 0.809, 0.383)
Si (0.500, 0.809, 0.617)
Si (0.617, 0.500, 0.191)
Si (0.617, 0.500, 0.809)
Si (0.682, 0.318, 0.318)
Si (0.682, 0.318, 0.682)
Si (0.682, 0.682, 0.318)
Si (0.682, 0.682, 0.682)
Si (0.691, 0.000, 0.117)
Si (0.691, 0.000, 0.883)
Si (0.750, 0.500, 0.000)
Si (0.809, 0.383, 0.500)
Si (0.809, 0.617, 0.500)
Si (0.818, 0.182, 0.182)
Si (0.818, 0.182, 0.818)
Si (0.818, 0.818, 0.182)
Si (0.818, 0.818, 0.818)
Si (0.883, 0.309, 0.000)
Si (0.883, 0.691, 0.000)
Au (0.000, 0.000, 0.000)
Au (0.500, 0.500, 0.500)

Space group: Pm-3n
Formation energy without anion corrections in kcal/mol of atoms: 2.36

---

# 3
Hf2AlNi: relaxed, PBE.

a b c (Å): 3.028 3.028 7.592
angles (deg): 90.00 90.00 90.00
Element x y z (fractional)
Hf (0.000, 0.000, 0.228)
Hf (0.000, 0.000, 0.772)
Al (0.500, 0.500, 0.500)
Ni (0.500, 0.500, 0.000)

Space group: P4/mmm
ΔE_f in eV per atom: -0.36

---

no.,DFT total energy (eV/atom)
1,-5.478
2,-5.231
3,-7.722